# 1
# BaAs6H2

A geometry-optimized BaAs6H2 structure (PBE, Alexandria via LeMat-Bulk).

Values from the calculation:
Its symmetry is P-1. The value obtained for the total energy is -4.191 eV/atom.

Lattice parameters (Å, degrees): 4.622 5.901 8.496 70.56 83.41 78.31
Element x y z (fractional)
Ba1 0.000 0.000 0.000
As1 0.127 0.666 0.500
As2 0.399 0.257 0.195
As3 0.472 0.414 0.725
As4 0.528 0.586 0.275
As5 0.601 0.743 0.805
As6 0.873 0.334 0.500
H1 0.439 0.070 0.371
H2 0.561 0.930 0.629



# 2
# Ba4AsH2

A geometry-optimized Ba4AsH2 structure (PBE, Alexandria via LeMat-Bulk).

Values from the calculation:
Its symmetry is I4/mmm. The value obtained for the total energy is -3.099 eV/atom.

Lattice parameters (Å, degrees): 6.329 6.329 14.302 90.00 90.00 90.00
Element x y z (fractional)
Ba1 0.000 0.000 0.231
Ba2 0.000 0.000 0.769
Ba3 0.000 0.500 0.000
Ba4 0.000 0.500 0.500
Ba5 0.500 0.000 0.000
Ba6 0.500 0.000 0.500
Ba7 0.500 0.500 0.269
Ba8 0.500 0.500 0.731
As1 0.000 0.000 0.000
As2 0.500 0.500 0.500
H1 0.000 0.000 0.412
H2 0.000 0.000 0.588
H3 0.500 0.500 0.088
H4 0.500 0.500 0.912



# 3
# BaAsH3

A geometry-optimized BaAsH3 structure (PBE, Alexandria via LeMat-Bulk).

Values from the calculation:
Its symmetry is Pm-3m. The relative energy among the computed polymorphs is 3.724 eV/f.u.

Lattice parameters (Å, degrees): 4.626 4.626 4.626 90.00 90.00 90.00
Element x y z (fractional)
Ba1 0.000 0.000 0.000
As1 0.500 0.500 0.500
H1 0.000 0.000 0.500
H2 0.000 0.500 0.000
H3 0.500 0.000 0.000



# 4
# Ba3AsH

A geometry-optimized Ba3AsH structure (PBE, Alexandria via LeMat-Bulk).

Values from the calculation:
Its symmetry is Pm-3m. The relative energy among the computed polymorphs is 0.652 eV/f.u.

Lattice parameters (Å, degrees): 5.392 5.392 5.392 90.00 90.00 90.00
Element x y z (fractional)
Ba1 0.000 0.000 0.500
Ba2 0.000 0.500 0.000
Ba3 0.500 0.000 0.000
As1 0.500 0.500 0.500
H1 0.000 0.000 0.000



| no. | volume (A^3/atom) |
| --- | --- |
| 1 | 23.7 |
| 2 | 40.9 |
| 3 | 19.8 |
| 4 | 31.4 |